This record from Alexandria describes a relaxed V2AgGeO8 crystal. The functional is GGA+U.

- E_tot (eV per cell) = -78.4
- mass density (g/cm3) = 4.15

a = 5.5763 Å, b = 5.5763 Å, c = 6.1048 Å
α = 90.00°, β = 90.00°, γ = 120.00°
Space group P-3m1 (No. 164)
Asymmetric unit:
1 V 0.3333 0.6667 0.2713 [2 per cell]
2 Ag 0.0000 0.0000 0.5000 [1 per cell]
3 Ge 0.0000 0.0000 0.0000 [1 per cell]
4 O 0.1556 0.3112 0.1893 [6 per cell]
5 O 0.3333 0.6667 0.5393 [2 per cell]